PBE+U CdCoO2, optimized geometry; total DFT energy (no corrections) = -4.94 eV/atom; magnetization = 3.00 μB per formula unit
1.0
1.713 0.989 5.719
-1.713 0.989 5.719
0.000 -1.978 5.719
Cd Co O
1 1 2
Direct
0.000 0.000 0.000
0.503 0.503 0.503
0.389 0.389 0.389
0.871 0.871 0.871